Record 1
K6Br5: optimized geometry, PBE-GGA.

Results
Density of states at the Fermi level, states/eV per atom: 0.236
ΔE_f (raw), meV per atom: -1551
Space group: C2/m

a = 8.216 Å, b = 8.217 Å, c = 8.225 Å
α = 119.97°, β = 99.56°, γ = 70.59°
Sites, in units of the cell vectors:
K (0.251, 0.916, 0.336)
K (0.251, 0.252, 0.000)
K (0.749, 0.420, 0.336)
K (0.251, 0.580, 0.664)
K (0.749, 0.084, 0.664)
K (0.749, 0.748, 0.000)
Br (0.500, 0.166, 0.332)
Br (0.000, 0.667, 0.334)
Br (0.500, 0.500, 0.000)
Br (0.500, 0.834, 0.668)
Br (0.000, 0.333, 0.666)

=====

Record 2
LaTm2Tl2Cd2: optimized geometry, PBE-GGA.

Results
Energy relative to the elements, meV/atom: -198.2
Density of states at the Fermi level, states/eV per atom: 0.668
Space group: R-3m

a = 5.049 Å, b = 5.049 Å, c = 9.267 Å
α = 74.19°, β = 74.19°, γ = 60.00°
Sites, in units of the cell vectors:
Cd (0.563, 0.563, 0.311)
Cd (0.437, 0.437, 0.689)
Tm (0.864, 0.864, 0.407)
Tm (0.136, 0.136, 0.593)
Tl (0.265, 0.265, 0.204)
Tl (0.735, 0.735, 0.796)
La (0.000, 0.000, 0.000)

=====

Record 3
Sm8PRh3I4: optimized geometry, PBE-GGA.

Results
Density of states at the Fermi level, states/eV per atom: 0.624
ΔE_f (raw), meV per atom: -991
Space group: R-3m

a = 8.378 Å, b = 9.291 Å, c = 8.376 Å
α = 116.79°, β = 120.01°, γ = 90.00°
Sites, in units of the cell vectors:
P (0.000, 0.500, 0.000)
Sm (0.271, 0.313, 0.542)
Sm (0.232, 0.683, 0.465)
Sm (0.768, 0.317, 0.049)
Sm (0.768, 0.317, 0.535)
Sm (0.729, 0.687, 0.458)
Sm (0.282, 0.317, 0.049)
Sm (0.232, 0.683, 0.951)
Sm (0.718, 0.683, 0.951)
I (0.500, 0.000, 0.000)
I (0.500, 0.000, 0.500)
I (0.000, 0.000, 0.500)
I (0.000, 0.000, 0.000)
Rh (0.000, 0.500, 0.500)
Rh (0.500, 0.500, 0.500)
Rh (0.500, 0.500, 0.000)

=====

Record 4
NaMn2HgPt: optimized geometry, PBE-GGA.

Results
Energy relative to the elements, meV/atom: 1079.7
Density of states at the Fermi level, states/eV per atom: 0.688
Space group: P4/mmm

a = 5.003 Å, b = 5.047 Å, c = 5.003 Å
α = 90.00°, β = 90.00°, γ = 90.00°
Last column: magnetic moment on the atom in μB.
Sites, in units of the cell vectors:
Pt (0.500, 0.500, 0.500)  0.06
Na (0.000, 0.500, 0.000)  -0.02
Mn (0.000, 0.000, 0.500)  4.21
Mn (0.500, 0.000, 0.000)  3.96
Hg (0.000, 0.000, 0.000)  -0.03

=====

Record 5
BeCd2Te: optimized geometry, PBE-GGA.

Results
Distance to the lowest polymorph of the same formula, meV per atom: 344
Density of states at the Fermi level, states/eV per atom: 0.435
ΔE_f (raw), meV per atom: 508
Space group: I-4m2

a = 5.386 Å, b = 5.386 Å, c = 5.386 Å
α = 130.63°, β = 130.63°, γ = 72.41°
Sites, in units of the cell vectors:
Cd (0.250, 0.750, 0.500)
Cd (0.000, 0.000, 0.000)
Be (0.750, 0.250, 0.500)
Te (0.500, 0.500, 0.000)

=====

Record 6
CdAg2Se2: optimized geometry, PBE-GGA.

Results
Distance to the lowest polymorph of the same formula, meV per atom: 203
Density of states at the Fermi level, states/eV per atom: 0.424
ΔE_f (raw), meV per atom: 167
Space group: I4/mmm

a = 3.945 Å, b = 3.945 Å, c = 7.712 Å
α = 75.18°, β = 75.18°, γ = 90.00°
Sites, in units of the cell vectors:
Ag (0.406, 0.406, 0.187)
Ag (0.594, 0.594, 0.813)
Cd (0.000, 0.000, 0.000)
Se (0.750, 0.250, 0.500)
Se (0.250, 0.750, 0.500)

=====

Record 7
BaNb3H: optimized geometry, PBE-GGA.

Results
Distance to the lowest polymorph of the same formula, meV per atom: 2265
Density of states at the Fermi level, states/eV per atom: 1.041
Space group: Pm-3m

a = 5.096 Å, b = 5.096 Å, c = 5.096 Å
α = 90.00°, β = 90.00°, γ = 90.00°
Sites, in units of the cell vectors:
Nb (0.500, 0.000, 0.000)
Nb (0.000, 0.500, 0.000)
Nb (0.000, 0.000, 0.500)
Ba (0.000, 0.000, 0.000)
H (0.500, 0.500, 0.500)

=====

Record 8
TmPuHg2: optimized geometry, PBE-GGA.

Results
Energy relative to the elements, meV/atom: -259.3
Distance to the lowest polymorph of the same formula, meV per atom: 24
Density of states at the Fermi level, states/eV per atom: 2.692
Space group: Fm-3m

a = 5.269 Å, b = 5.269 Å, c = 5.269 Å
α = 60.00°, β = 60.00°, γ = 60.00°
Last column: magnetic moment on the atom in μB.
Sites, in units of the cell vectors:
Pu (0.000, 0.000, 0.000)  5.43
Hg (0.750, 0.750, 0.750)  0.02
Hg (0.250, 0.250, 0.250)  0.02
Tm (0.500, 0.500, 0.500)  0.15

=====

Record 9
Er3Tl3CuSe8: optimized geometry, PBE-GGA.

Results
Density of states at the Fermi level, states/eV per atom: 0.630
ΔE_f (raw), meV per atom: -999
Space group: C2/m

a = 8.121 Å, b = 8.121 Å, c = 9.053 Å
α = 116.66°, β = 90.00°, γ = 120.00°
Sites, in units of the cell vectors:
Tl (0.500, 0.500, 0.000)
Tl (0.000, 0.000, 0.000)
Tl (0.000, 0.500, 0.000)
Se (0.780, 0.029, 0.308)
Se (0.264, 0.529, 0.293)
Se (0.736, 0.471, 0.707)
Se (0.218, 0.437, 0.690)
Se (0.752, 0.971, 0.692)
Se (0.220, 0.971, 0.692)
Se (0.248, 0.029, 0.308)
Se (0.782, 0.563, 0.310)
Cu (0.000, 0.000, 0.500)
Er (0.500, 0.000, 0.500)
Er (0.000, 0.500, 0.500)
Er (0.500, 0.500, 0.500)

=====

Record 10
Li2TlPdSe: optimized geometry, PBE-GGA.

Results
Density of states at the Fermi level, states/eV per atom: 0.395
ΔE_f (raw), meV per atom: -445
Space group: P4/mmm

a = 4.754 Å, b = 4.754 Å, c = 4.902 Å
α = 90.00°, β = 90.00°, γ = 90.00°
Sites, in units of the cell vectors:
Li (0.000, 0.500, 0.000)
Li (0.500, 0.000, 0.000)
Pd (0.000, 0.000, 0.500)
Tl (0.500, 0.500, 0.500)
Se (0.000, 0.000, 0.000)

=====

Record 11
Tm8PdPt2: optimized geometry, PBE-GGA.

Results
Energy relative to the elements, meV/atom: -673.5
Distance to the lowest polymorph of the same formula, meV per atom: 0
Density of states at the Fermi level, states/eV per atom: 1.134
Space group: C2/m

a = 4.919 Å, b = 6.732 Å, c = 8.954 Å
α = 104.03°, β = 105.94°, γ = 90.00°
Sites, in units of the cell vectors:
Pt (0.810, 0.275, 0.621)
Pt (0.190, 0.725, 0.379)
Pd (0.500, 0.000, 0.000)
Tm (0.206, 0.322, 0.411)
Tm (0.794, 0.678, 0.589)
Tm (0.408, 0.542, 0.815)
Tm (0.968, 0.221, 0.936)
Tm (0.334, 0.028, 0.667)
Tm (0.592, 0.458, 0.185)
Tm (0.032, 0.779, 0.064)
Tm (0.666, 0.972, 0.333)

=====

Record 12
Er8Tm2Mg3: optimized geometry, PBE-GGA.

Results
Energy relative to the elements, meV/atom: 226.8
Density of states at the Fermi level, states/eV per atom: 1.515
Space group: C2/m

a = 6.482 Å, b = 8.586 Å, c = 8.445 Å
α = 120.55°, β = 97.41°, γ = 90.00°
Sites, in units of the cell vectors:
Er (0.787, 0.196, 0.392)
Er (0.112, 0.411, 0.822)
Er (0.888, 0.589, 0.178)
Er (0.422, 0.796, 0.223)
Er (0.422, 0.427, 0.223)
Er (0.578, 0.573, 0.777)
Er (0.213, 0.804, 0.608)
Er (0.578, 0.204, 0.777)
Mg (0.000, 0.165, 0.000)
Mg (0.500, 0.000, 0.000)
Mg (0.000, 0.835, 0.000)
Tm (0.711, 0.792, 0.584)
Tm (0.289, 0.208, 0.416)

=====

Record 13
ZrInSe2N: optimized geometry, PBE-GGA.

Results
Density of states at the Fermi level, states/eV per atom: 1.387
ΔE_f (raw), meV per atom: -226
Space group: P4/mmm

a = 5.382 Å, b = 5.382 Å, c = 4.301 Å
α = 90.00°, β = 90.00°, γ = 90.00°
Sites, in units of the cell vectors:
In (0.500, 0.500, 0.500)
Se (0.000, 0.500, 0.000)
Se (0.500, 0.000, 0.000)
Zr (0.000, 0.000, 0.000)
N (0.000, 0.000, 0.500)

=====

Record 14
Te2IrSe: optimized geometry, PBE-GGA.

Results
Density of states at the Fermi level, states/eV per atom: 0.337
ΔE_f (raw), meV per atom: -30
Space group: P2_1/m

a = 4.246 Å, b = 6.314 Å, c = 7.230 Å
α = 90.00°, β = 90.00°, γ = 109.77°
Sites, in units of the cell vectors:
Se (0.032, 0.063, 0.750)
Se (0.968, 0.937, 0.250)
Te (0.354, 0.707, 0.500)
Te (0.354, 0.707, 0.000)
Te (0.646, 0.293, 0.000)
Te (0.646, 0.293, 0.500)
Ir (0.176, 0.353, 0.250)
Ir (0.824, 0.647, 0.750)

=====

Record 15
Hf2NbIr5Ru: optimized geometry, PBE-GGA.

Results
Energy relative to the elements, meV/atom: 116.6
Density of states at the Fermi level, states/eV per atom: 1.196
Space group: I4/mcm

a = 7.645 Å, b = 7.645 Å, c = 7.639 Å
α = 120.03°, β = 120.03°, γ = 90.00°
Sites, in units of the cell vectors:
Ir (0.174, 0.058, 0.732)
Ir (0.000, 0.000, 0.000)
Ir (0.942, 0.442, 0.268)
Ir (0.558, 0.674, 0.732)
Ir (0.674, 0.174, 0.732)
Ir (0.326, 0.826, 0.268)
Ir (0.442, 0.326, 0.268)
Ir (0.826, 0.942, 0.268)
Ir (0.500, 0.500, 0.000)
Ir (0.058, 0.558, 0.732)
Nb (0.250, 0.250, 0.500)
Nb (0.750, 0.750, 0.500)
Ru (0.250, 0.750, 0.500)
Ru (0.750, 0.250, 0.500)
Hf (0.623, 0.123, 0.000)
Hf (0.123, 0.377, 0.000)
Hf (0.377, 0.877, 0.000)
Hf (0.877, 0.623, 0.000)

=====

Record 16
NaTiS2: optimized geometry, PBE-GGA.

Results
Density of states at the Fermi level, states/eV per atom: 0.671
ΔE_f (raw), meV per atom: -1336
Space group: R3m

a = 7.134 Å, b = 7.134 Å, c = 7.134 Å
α = 28.69°, β = 28.69°, γ = 28.69°
Last column: magnetic moment on the atom in μB.
Sites, in units of the cell vectors:
Na (0.166, 0.166, 0.166)  0.00
S (0.595, 0.595, 0.595)  -0.01
S (0.401, 0.401, 0.401)  -0.01
Ti (0.998, 0.998, 0.998)  0.48

=====

Record 17
ZrCo2: optimized geometry, PBE-GGA.

Results
Energy relative to the elements, meV/atom: -42.6
Density of states at the Fermi level, states/eV per atom: 1.026
Space group: I4/mcm

a = 5.223 Å, b = 5.223 Å, c = 5.223 Å
α = 126.28°, β = 126.28°, γ = 79.43°
Sites, in units of the cell vectors:
Co (0.675, 0.175, 0.850)
Co (0.175, 0.325, 0.500)
Co (0.825, 0.675, 0.500)
Co (0.325, 0.825, 0.150)
Zr (0.250, 0.250, 0.000)
Zr (0.750, 0.750, 0.000)

=====

Record 18
CuHgSeO4: optimized geometry, PBE-GGA.

Results
Density of states at the Fermi level, states/eV per atom: 0.352
ΔE_f (raw), meV per atom: -404
Space group: I-4

a = 6.286 Å, b = 6.286 Å, c = 5.247 Å
α = 126.80°, β = 126.80°, γ = 90.00°
Sites, in units of the cell vectors:
O (0.272, 0.678, 0.149)
O (0.322, 0.122, 0.851)
O (0.878, 0.472, 0.149)
O (0.528, 0.728, 0.851)
Se (0.250, 0.750, 0.500)
Hg (0.000, 0.000, 0.000)
Cu (0.500, 0.500, 0.000)

=====

Record 19
CsCaF: optimized geometry, PBE-GGA.

Results
Density of states at the Fermi level, states/eV per atom: 0.631
ΔE_f (raw), meV per atom: -1626
Space group: Amm2

a = 4.252 Å, b = 4.261 Å, c = 15.769 Å
α = 90.00°, β = 90.00°, γ = 119.93°
Sites, in units of the cell vectors:
F (0.338, 0.675, 0.000)
F (0.330, 0.659, 0.500)
Ca (0.337, 0.673, 0.866)
Ca (0.337, 0.673, 0.134)
Cs (0.663, 0.326, 0.619)
Cs (0.663, 0.326, 0.381)

=====

Record 20
Nd4CoSCl2: optimized geometry, PBE-GGA.

Results
Density of states at the Fermi level, states/eV per atom: 0.608
ΔE_f (raw), meV per atom: -1274
Space group: P2/m

a = 3.921 Å, b = 7.291 Å, c = 7.519 Å
α = 107.87°, β = 90.00°, γ = 90.00°
Sites, in units of the cell vectors:
Cl (0.500, 0.000, 0.500)
Cl (0.000, 0.500, 0.500)
Nd (0.000, 0.257, 0.785)
Nd (0.500, 0.214, 0.206)
Nd (0.500, 0.786, 0.794)
Nd (0.000, 0.743, 0.215)
S (0.500, 0.500, 0.000)
Co (0.000, 0.000, 0.000)

=====

Record 21
ZnRuO3: optimized geometry, PBE-GGA.

Results
Density of states at the Fermi level, states/eV per atom: 0.784
ΔE_f (raw), meV per atom: -511
Space group: Pm-3m

a = 3.845 Å, b = 3.845 Å, c = 3.845 Å
α = 90.00°, β = 90.00°, γ = 90.00°
Last column: magnetic moment on the atom in μB.
Sites, in units of the cell vectors:
O (0.000, 0.500, 0.000)  0.05
O (0.500, 0.000, 0.000)  0.11
O (0.000, 0.000, 0.500)  0.02
Zn (0.500, 0.500, 0.500)  0.03
Ru (0.000, 0.000, 0.000)  0.51

=====

Record 22
BaLaP2O8: optimized geometry, PBE-GGA.

Results
Density of states at the Fermi level, states/eV per atom: 0.801
ΔE_f (raw), meV per atom: -2670
Space group: P-3

a = 5.528 Å, b = 5.528 Å, c = 8.010 Å
α = 90.00°, β = 90.00°, γ = 120.00°
Last column: magnetic moment on the atom in μB.
Sites, in units of the cell vectors:
O (0.639, 0.814, 0.706)  0.09
O (0.361, 0.186, 0.294)  0.09
O (0.667, 0.333, 0.036)  0.20
O (0.333, 0.667, 0.964)  0.20
O (0.825, 0.639, 0.294)  0.09
O (0.175, 0.361, 0.706)  0.09
O (0.186, 0.825, 0.706)  0.09
O (0.814, 0.175, 0.294)  0.09
La (0.000, 0.000, 0.500)  0.00
Ba (0.000, 0.000, 0.000)  0.00
P (0.333, 0.667, 0.771)  -0.01
P (0.667, 0.333, 0.229)  -0.01

=====

Record 23
ReSi2Au: optimized geometry, PBE-GGA.

Results
Distance to the lowest polymorph of the same formula, meV per atom: 0
Density of states at the Fermi level, states/eV per atom: 0.337
ΔE_f (raw), meV per atom: -19
Space group: P2/m

a = 2.848 Å, b = 3.123 Å, c = 7.213 Å
α = 89.87°, β = 90.00°, γ = 90.00°
Sites, in units of the cell vectors:
Au (0.500, 0.250, 0.250)
Si (0.000, 0.251, 0.551)
Si (0.000, 0.249, 0.949)
Re (0.500, 0.750, 0.750)

=====

Record 24
HfGaAs2Se: optimized geometry, PBE-GGA.

Results
Distance to the lowest polymorph of the same formula, meV per atom: 0
Density of states at the Fermi level, states/eV per atom: 0.838
ΔE_f (raw), meV per atom: -40
Space group: P4/mmm

a = 5.188 Å, b = 5.188 Å, c = 5.188 Å
α = 90.00°, β = 90.00°, γ = 90.00°
Sites, in units of the cell vectors:
As (0.000, 0.500, 0.000)
As (0.500, 0.000, 0.000)
Se (0.000, 0.000, 0.500)
Ga (0.500, 0.500, 0.500)
Hf (0.000, 0.000, 0.000)

=====

Record 25
Pm3Tm2Ag2: optimized geometry, PBE-GGA.

Results
Energy relative to the elements, meV/atom: 37.9
Distance to the lowest polymorph of the same formula, meV per atom: 149
Density of states at the Fermi level, states/eV per atom: 1.266
Space group: Cmmm

a = 4.939 Å, b = 3.467 Å, c = 11.665 Å
α = 90.00°, β = 77.78°, γ = 90.00°
Sites, in units of the cell vectors:
Tm (0.291, 0.500, 0.418)
Tm (0.709, 0.500, 0.582)
Pm (0.857, 0.000, 0.285)
Pm (0.000, 0.000, 0.000)
Pm (0.143, 0.000, 0.715)
Ag (0.571, 0.500, 0.858)
Ag (0.429, 0.500, 0.142)